# NaSrCdSe2

NaSrCdSe2 after structural relaxation (PBE, the Alexandria database).

a = 5.5707 Å, b = 5.5707 Å, c = 5.6109 Å
α = 90.00°, β = 90.00°, γ = 90.00°
With the nearest neighbours (Å) after each atom.
Space group P4/mmm (No. 123)
Inequivalent atoms, fractional coordinates:
1 Na 0.0000 0.0000 0.0000  4 Sr 3.94, 8 Se 3.95
2 Sr 0.5000 0.5000 0.0000  2 Cd 2.81
3 Cd 0.5000 0.5000 0.5000  4 Se 2.79, 2 Sr 2.81
4 Se 0.0000 0.5000 0.5000  2 Cd 2.79


# PrU2OsC4

PrU2OsC4 after structural relaxation (PBE, the Alexandria database).

a = 3.5677 Å, b = 11.7526 Å, c = 11.8606 Å
α = 90.00°, β = 90.00°, γ = 90.00°
With the nearest neighbours (Å) after each atom.
Space group Cmcm (No. 63)
Inequivalent atoms, fractional coordinates:
1 Pr 0.0000 0.1023 0.2500  6 C 2.69-2.94
2 U 0.0000 0.3700 0.0468  6 C 2.32-2.52
3 Os 0.0000 0.1590 0.7500  4 C 1.99-2.07
4 C 0.0000 0.0000 0.0000  4 U 2.41
5 C 0.0000 0.2554 0.6126  1 Os 1.99
6 C 0.0000 0.4312 0.2500  2 Os 2.07

Values from the calculation:
DFT formation energy   -0.86 kcal/mol of atoms


# CaTbAl2Ga2

CaTbAl2Ga2 after structural relaxation (PBE, the Alexandria database).

a = 4.3941 Å, b = 4.3941 Å, c = 7.9491 Å
α = 90.00°, β = 90.00°, γ = 120.00°
With the nearest neighbours (Å) after each atom.
Space group P-3m1 (No. 164)
Inequivalent atoms, fractional coordinates:
1 Ca 0.0000 0.0000 0.0000  6 Al 3.30, 6 Ga 3.30
2 Tb 0.0000 0.0000 0.5000  6 Ga 3.15, 6 Al 3.15
3 Al 0.3333 0.6667 0.7354  3 Ga 2.54
4 Ga 0.3333 0.6667 0.2647  3 Al 2.54

Values from the calculation:
DFT formation energy   -10.98 kcal/mol of atoms


# TiSb2PdW

TiSb2PdW after structural relaxation (PBE, the Alexandria database).

a = 5.0633 Å, b = 5.0633 Å, c = 4.8822 Å
α = 90.00°, β = 90.00°, γ = 90.00°
With the nearest neighbours (Å) after each atom.
Space group P4/mmm (No. 123)
Inequivalent atoms, fractional coordinates:
1 Ti 0.0000 0.0000 0.0000  8 Sb 3.52, 4 W 3.58
2 Sb 0.0000 0.5000 0.5000  2 Pd 2.53
3 Pd 0.5000 0.5000 0.5000  2 W 2.44, 4 Sb 2.53
4 W 0.5000 0.5000 0.0000  2 Pd 2.44


# Sn2HPd4

Sn2HPd4 after structural relaxation (PBE, the Alexandria database).

a = 7.8424 Å, b = 5.6217 Å, c = 9.9538 Å
α = 90.00°, β = 90.00°, γ = 90.00°
With the nearest neighbours (Å) after each atom.
Space group Pnma (No. 62)
Inequivalent atoms, fractional coordinates:
1 Sn 0.0529 0.2500 0.1605  9 Pd 2.70-2.88
2 Sn 0.1560 0.7500 0.3966  7 Pd 2.73-2.90
3 H 0.2389 0.7500 0.0851  4 Pd 1.85-1.88
4 Pd 0.0035 0.7500 0.1089  1 H 1.86
5 Pd 0.1368 0.5036 0.6516  1 H 1.85
6 Pd 0.2169 0.2500 0.3992  1 H 1.88


# CaCo2W

CaCo2W after structural relaxation (PBE, the Alexandria database).

a = 2.6844 Å, b = 4.5324 Å, c = 9.9836 Å
α = 90.00°, β = 90.00°, γ = 90.00°
With the nearest neighbours (Å) after each atom.
Space group Imm2 (No. 44)
Inequivalent atoms, fractional coordinates:
1 Ca 0.0000 0.0000 0.0000  4 Co 2.64, 2 Ca 2.68
2 Co 0.0000 0.0000 0.4842  4 Co 2.45-2.68, 2 W 2.60, 4 Ca 2.64
3 Co 0.0000 0.5000 0.7790  4 Co 2.45-2.68, 4 W 2.73
4 W 0.0000 0.5000 0.2073  6 Co 2.60-2.73, 2 W 2.68

Values from the calculation:
DFT formation energy   11.50 kcal/mol of atoms


# BaRe2Hg

BaRe2Hg after structural relaxation (PBE, the Alexandria database).

a = 4.1717 Å, b = 4.1717 Å, c = 5.1102 Å
α = 90.00°, β = 90.00°, γ = 90.00°
With the nearest neighbours (Å) after each atom.
Space group P4/mmm (No. 123)
Inequivalent atoms, fractional coordinates:
1 Ba 0.0000 0.0000 0.0000  4 Hg 2.95, 8 Re 3.30
2 Re 0.0000 0.5000 0.5000  4 Re 2.95, 4 Hg 3.30, 4 Ba 3.30
3 Hg 0.5000 0.5000 0.0000  4 Ba 2.95, 8 Re 3.30

Values from the calculation:
DFT formation energy   36.47 kcal/mol of atoms


# HoErCdAg

HoErCdAg after structural relaxation (PBE, the Alexandria database).

a = 3.6668 Å, b = 3.6668 Å, c = 7.3216 Å
α = 90.00°, β = 90.00°, γ = 90.00°
With the nearest neighbours (Å) after each atom.
Space group P4mm (No. 99)
Inequivalent atoms, fractional coordinates:
1 Ho 0.0000 0.0000 0.0000  4 Ag 3.15, 4 Cd 3.22
2 Er 0.0000 0.0000 0.5170  4 Ag 3.13, 4 Cd 3.20
3 Cd 0.5000 0.5000 0.2600  4 Er 3.20, 4 Ho 3.22
4 Ag 0.5000 0.5000 0.7561  4 Er 3.13, 4 Ho 3.15

Values from the calculation:
DFT formation energy   -7.37 kcal/mol of atoms


no.,V (Å³/f.u.),total DFT energy (no corrections) (eV per formula unit)
1,174,-11.8
2,124,-75.8
3,133,-23.0
4,125,-27.7
5,110,-35.0
6,61,-27.2
7,89,-20.8
8,98,-14.2